Entry from Alexandria: an optimized crystal structure of Pr6PdAu2 (PBE).

Lattice parameters (Å, degrees): 6.816 7.711 10.728 90.00 93.71 90.00
Sites, in units of the cell vectors:
Pr1 0.652 0.462 0.261
Pr2 0.848 0.962 0.239
Pr3 0.332 0.833 0.065
Pr4 0.152 0.038 0.761
Pr5 0.336 0.800 0.433
Pr6 0.348 0.538 0.739
Pr7 0.664 0.200 0.567
Pr8 0.836 0.700 0.933
Pr9 0.168 0.333 0.435
Pr10 0.164 0.300 0.067
Pr11 0.668 0.167 0.935
Pr12 0.832 0.667 0.565
Pd1 0.500 0.500 0.000
Pd2 0.000 0.000 0.500
Au1 0.565 0.888 0.729
Au2 0.935 0.388 0.771
Au3 0.435 0.112 0.271
Au4 0.065 0.612 0.229

Computed properties:
calculated volume = 562.7 Å³ per cell
total moment = 0.000 μB per formula unit
ρ = 7943 kg/m³
E = -88.94 eV for the cell shown
energy relative to the elements = -0.45 eV/atom

=====

Entry from Alexandria: an optimized crystal structure of Tm4CuSb2 (PBE).

Lattice parameters (Å, degrees): 4.169 7.234 7.816 117.27 105.47 90.00
Sites, in units of the cell vectors:
Sb1 0.249 0.246 0.498
Sb2 0.751 0.754 0.502
Tm1 0.887 0.225 0.775
Tm2 0.389 0.714 0.779
Tm3 0.611 0.286 0.221
Tm4 0.113 0.775 0.225
Cu1 0.000 0.000 0.000

Computed properties:
calculated volume = 199.9 Å³ per cell
uncorrected formation energy = -0.485 eV per atom
total moment = 0.000 μB per formula unit
ρ = 8165 kg/m³
E = -33.62 eV for the cell shown

=====

Entry from Alexandria: an optimized crystal structure of BaBi2Pd4 (PBE).

Lattice parameters (Å, degrees): 7.497 7.497 7.497 109.08 109.67 109.67
Sites, in units of the cell vectors:
Bi1 0.500 0.348 0.152
Bi2 0.195 0.848 0.348
Bi3 0.500 0.652 0.848
Bi4 0.805 0.152 0.652
Ba1 0.000 0.250 0.250
Ba2 0.000 0.750 0.750
Pd1 0.212 0.520 0.020
Pd2 0.500 0.309 0.520
Pd3 0.788 0.480 0.980
Pd4 0.500 0.980 0.191
Pd5 0.212 0.191 0.691
Pd6 0.788 0.809 0.309
Pd7 0.500 0.691 0.480
Pd8 0.500 0.020 0.809

Computed properties:
calculated volume = 324.3 Å³ per cell
total moment = 0.000 μB per formula unit
ρ = 10045 kg/m³
E = -67.65 eV for the cell shown
energy relative to the elements = -0.48 eV/atom
relative energy among the computed polymorphs = 0.000 eV per formula unit

=====

Entry from Alexandria: an optimized crystal structure of Rb2HgIrBr6 (PBE).

Lattice parameters (Å, degrees): 7.813 7.813 7.829 60.07 60.07 90.00
Sites, in units of the cell vectors:
Br1 0.271 0.729 0.000
Br2 0.728 0.728 0.545
Br3 0.729 0.271 0.000
Br4 0.729 0.729 0.000
Br5 0.272 0.272 0.455
Br6 0.271 0.271 0.000
Rb1 0.250 0.750 0.500
Rb2 0.750 0.250 0.500
Hg1 0.000 0.000 0.000
Ir1 0.500 0.500 0.000

Computed properties:
calculated volume = 338.6 Å³ per cell
uncorrected formation energy = -0.812 eV per atom
total moment = 0.419 μB per formula unit
ρ = 5115 kg/m³
E = -29.26 eV for the cell shown

=====

Entry from Alexandria: an optimized crystal structure of ZnRe2Hg (PBE).

Lattice parameters (Å, degrees): 2.799 4.232 5.647 90.00 90.00 90.00
Sites, in units of the cell vectors:
Hg1 0.500 0.500 0.750
Re1 0.000 0.000 0.458
Re2 0.000 0.000 0.042
Zn1 0.500 0.500 0.250

Computed properties:
calculated volume = 66.9 Å³ per cell
total moment = 0.001 μB per formula unit
ρ = 15844 kg/m³
E = -23.59 eV for the cell shown
energy relative to the elements = 0.72 eV/atom
relative energy among the computed polymorphs = 1.850 eV per formula unit

=====

Entry from Alexandria: an optimized crystal structure of SrAs2PbBr (PBE).

Lattice parameters (Å, degrees): 5.726 5.726 5.664 90.00 90.00 90.00
Sites, in units of the cell vectors:
Sr1 0.000 0.000 0.000
As1 0.500 0.000 0.000
As2 0.000 0.500 0.000
Pb1 0.500 0.500 0.500
Br1 0.000 0.000 0.500

Computed properties:
calculated volume = 185.7 Å³ per cell
uncorrected formation energy = 0.208 eV per atom
total moment = 0.860 μB per formula unit
ρ = 4690 kg/m³
E = -15.32 eV for the cell shown
relative energy among the computed polymorphs = 1.777 eV per formula unit

=====

Entry from Alexandria: an optimized crystal structure of Pr4DyY3 (PBE).

Lattice parameters (Å, degrees): 3.508 6.893 12.070 106.17 98.36 90.00
Sites, in units of the cell vectors:
Pr1 0.741 0.236 0.481
Pr2 0.259 0.764 0.519
Pr3 0.123 0.368 0.246
Pr4 0.877 0.632 0.754
Dy1 0.500 0.000 0.000
Y1 0.122 0.881 0.245
Y2 0.878 0.119 0.755
Y3 0.000 0.500 0.000

Computed properties:
calculated volume = 277.1 Å³ per cell
total moment = 0.000 μB per formula unit
ρ = 5949 kg/m³
E = -41.81 eV for the cell shown
energy relative to the elements = 0.16 eV/atom
relative energy among the computed polymorphs = 1.097 eV per formula unit

=====

- What is the ρ in the fourth record?
  5115 kg/m³

=====

Repeat the seventh record exactly.
Entry from Alexandria: an optimized crystal structure of Pr4DyY3 (PBE).

Lattice parameters (Å, degrees): 3.508 6.893 12.070 106.17 98.36 90.00
Sites, in units of the cell vectors:
Pr1 0.741 0.236 0.481
Pr2 0.259 0.764 0.519
Pr3 0.123 0.368 0.246
Pr4 0.877 0.632 0.754
Dy1 0.500 0.000 0.000
Y1 0.122 0.881 0.245
Y2 0.878 0.119 0.755
Y3 0.000 0.500 0.000

Computed properties:
calculated volume = 277.1 Å³ per cell
total moment = 0.000 μB per formula unit
ρ = 5949 kg/m³
E = -41.81 eV for the cell shown
energy relative to the elements = 0.16 eV/atom
relative energy among the computed polymorphs = 1.097 eV per formula unit